Ta13Al16 | GGA-PBE | relaxed

Summary:
Total DFT energy (no corrections) ... -7.369 eV per atom
Crystal system ... cubic
Total magnetic moment ... 0.0 μB/cell
Polymorph energy (0 for the lowest one) ... 0 meV per atom

Lattice parameters (Å, degrees): 8.631 8.631 8.631 109.47 109.47 109.47
Fractional positions:
Al (0.000, 0.656, 0.000)
Al (0.186, 0.000, 0.364)
Al (0.344, 0.344, 0.344)
Al (0.814, 0.814, 0.178)
Al (0.364, 0.000, 0.186)
Al (0.636, 0.636, 0.822)
Al (0.000, 0.364, 0.186)
Al (0.000, 0.000, 0.656)
Al (0.364, 0.186, 0.000)
Al (0.178, 0.814, 0.814)
Al (0.814, 0.178, 0.814)
Al (0.656, 0.000, 0.000)
Al (0.822, 0.636, 0.636)
Al (0.186, 0.364, 0.000)
Al (0.636, 0.822, 0.636)
Al (0.000, 0.186, 0.364)
Ta (0.613, 0.613, 0.297)
Ta (0.703, 0.316, 0.316)
Ta (0.000, 0.684, 0.387)
Ta (0.000, 0.000, 0.000)
Ta (0.316, 0.316, 0.703)
Ta (0.684, 0.387, 0.000)
Ta (0.316, 0.703, 0.316)
Ta (0.613, 0.297, 0.613)
Ta (0.387, 0.000, 0.684)
Ta (0.000, 0.387, 0.684)
Ta (0.297, 0.613, 0.613)
Ta (0.387, 0.684, 0.000)
Ta (0.684, 0.000, 0.387)


Nd2DyIn3PtAu2 | GGA-PBE | relaxed

Summary:
Total DFT energy (no corrections) ... -4.698 eV per atom
Crystal system ... orthorhombic
Total magnetic moment ... 0.0 μB/cell

Lattice parameters (Å, degrees): 4.024 7.794 7.794 119.95 90.00 90.00
Fractional positions:
Nd (0.000, 0.000, 0.596)
Nd (0.000, 0.596, 0.000)
Dy (0.000, 0.401, 0.401)
Pt (0.000, 0.005, 0.005)
In (0.500, 0.002, 0.253)
In (0.500, 0.748, 0.748)
In (0.500, 0.253, 0.002)
Au (0.500, 0.336, 0.660)
Au (0.500, 0.660, 0.336)


Si2AsAu2 | GGA-PBE | relaxed

Summary:
Total DFT energy (no corrections) ... -4.085 eV per atom
Crystal system ... tetragonal
Polymorph energy (0 for the lowest one) ... 4 meV per atom

Lattice parameters (Å, degrees): 6.484 6.484 6.484 144.09 144.09 51.69
Fractional positions:
Si (0.750, 0.250, 0.500)
Si (0.250, 0.750, 0.500)
As (0.000, 0.000, 0.000)
Au (0.615, 0.615, 0.000)
Au (0.385, 0.385, 0.000)